Cd2InNi2: relaxed, PBEsol.

abc: 6.5719 6.5719 3.7959
angles: 90.00 90.00 90.00
With the nearest neighbours (Å) after each atom.
Fractional coordinates of all 10 atoms:
Cd 0.1604 0.3396 0.0000  6 Ni 2.70-2.71, 1 Cd 2.98
Cd 0.3396 0.8396 0.0000  6 Ni 2.70-2.71, 1 Cd 2.98
Cd 0.6604 0.1604 0.0000  6 Ni 2.70-2.71, 1 Cd 2.98
Cd 0.8396 0.6604 0.0000  6 Ni 2.70-2.71, 1 Cd 2.98
In 0.0000 0.0000 0.5000  4 Ni 2.56
In 0.5000 0.5000 0.5000  4 Ni 2.56
Ni 0.1332 0.6332 0.5000  1 Ni 2.48, 2 In 2.56, 6 Cd 2.70-2.71
Ni 0.3668 0.1332 0.5000  1 Ni 2.48, 2 In 2.56, 6 Cd 2.70-2.71
Ni 0.6332 0.8668 0.5000  1 Ni 2.48, 2 In 2.56, 6 Cd 2.70-2.71
Ni 0.8668 0.3668 0.5000  1 Ni 2.48, 2 In 2.56, 6 Cd 2.70-2.71

Values from the calculation:
As for the formation energy: -0.017 eV/atom.